[1]
# MgFeSb2Pt, optimized geometry, DFT PBE
data_MgFeSb2Pt
_chemical_formula_sum 'Mg1 Fe1 Sb2 Pt1'
_space_group_name_H-M_alt 'P 1'
_space_group_IT_number 1
_space_group_name_Hall 'P 1'
_cell_length_a 4.734
_cell_length_b 4.739
_cell_length_c 4.734
_cell_angle_alpha 90.00
_cell_angle_beta 90.00
_cell_angle_gamma 90.00
loop_
_atom_site_label
_atom_site_fract_x
_atom_site_fract_y
_atom_site_fract_z
Fe1 0.000 0.000 0.000
Sb1 0.000 0.000 0.500
Sb2 0.500 0.000 0.000
Mg1 0.000 0.500 0.000
Pt1 0.500 0.500 0.500
# ΔE_f (raw) = 0.2780 eV per atom
# Symmetry = P4/mmm (123)

***

[2]
# GePbW2, optimized geometry, DFT PBE
data_GePbW2
_chemical_formula_sum 'Ge2 Pb2 W4'
_space_group_name_H-M_alt 'P 1'
_space_group_IT_number 1
_space_group_name_Hall 'P 1'
_cell_length_a 4.150
_cell_length_b 4.150
_cell_length_c 10.012
_cell_angle_alpha 78.04
_cell_angle_beta 78.04
_cell_angle_gamma 90.00
loop_
_atom_site_label
_atom_site_fract_x
_atom_site_fract_y
_atom_site_fract_z
Pb1 0.750 0.250 0.500
Pb2 0.000 0.000 0.000
W1 0.875 0.805 0.750
W2 0.555 0.125 0.250
W3 0.195 0.625 0.250
W4 0.375 0.445 0.750
Ge1 0.250 0.750 0.500
Ge2 0.500 0.500 0.000
# VASP energy = -60.72 eV/cell
# Symmetry = I-42d (122)